[1]
A plane-wave DFT calculation with PBE-GGA was carried out for an optimized crystal structure of NaZn2Cd.

Cell and atoms, written as CIF:
```
data_NaZn2Cd
_chemical_formula_sum 'Na1 Zn2 Cd1'
_symmetry_space_group_name_H-M 'P 4/m m m'
_symmetry_Int_Tables_number 123
_symmetry_space_group_name_Hall '-P 4 2'
_cell_length_a 3.5794
_cell_length_b 3.5794
_cell_length_c 6.5975
_cell_angle_alpha 90.00
_cell_angle_beta 90.00
_cell_angle_gamma 90.00
loop_
_atom_site_label
_atom_site_fract_x
_atom_site_fract_y
_atom_site_fract_z
Na1 0.0000 0.0000 0.0000
Zn1 0.5000 0.5000 0.2761
Cd1 0.0000 0.0000 0.5000
```

Properties
crystal system = tetragonal
DFT formation energy = 0.3 eV/f.u.
magnetization = 0.00 μB/f.u.

[2]
A plane-wave DFT calculation with PBE-GGA was carried out for an optimized crystal structure of InBi2SbAu4.

Cell and atoms, written as CIF:
```
data_InBi2SbAu4
_chemical_formula_sum 'In4 Bi8 Sb4 Au16'
_symmetry_space_group_name_H-M 'F m m m'
_symmetry_Int_Tables_number 69
_symmetry_space_group_name_Hall '-F 2 2'
_cell_length_a 7.9838
_cell_length_b 8.6511
_cell_length_c 11.5964
_cell_angle_alpha 90.00
_cell_angle_beta 90.00
_cell_angle_gamma 90.00
loop_
_atom_site_label
_atom_site_fract_x
_atom_site_fract_y
_atom_site_fract_z
In1 0.0000 0.0000 0.0000
Bi1 0.2500 0.2500 0.2500
Sb1 0.0000 0.0000 0.5000
Au1 0.0000 0.0000 0.2469
Au2 0.2500 0.2500 0.0000
```

Properties
crystal system = orthorhombic
energy relative to the elements, uncorrected = -0.053 eV/atom
magnetization = 0.00 μB/f.u.

[3]
A plane-wave DFT calculation with PBE-GGA was carried out for an optimized crystal structure of HgH2I2.

Cell and atoms, written as CIF:
```
data_HgH2I2
_chemical_formula_sum 'Hg2 H4 I4'
_symmetry_space_group_name_H-M 'P -1'
_symmetry_Int_Tables_number 2
_symmetry_space_group_name_Hall '-P 1'
_cell_length_a 4.1855
_cell_length_b 4.5549
_cell_length_c 21.6756
_cell_angle_alpha 87.61
_cell_angle_beta 84.64
_cell_angle_gamma 62.89
loop_
_atom_site_label
_atom_site_fract_x
_atom_site_fract_y
_atom_site_fract_z
Hg1 0.1151 0.2564 0.2500
H1 0.0990 0.1683 0.6133
H2 0.2329 0.1646 0.8868
I1 0.3017 0.6540 0.4125
I2 0.4555 0.3446 0.9125
```

Properties
crystal system = triclinic
energy relative to the lowest polymorph listed for this composition = 0 meV/atom
magnetization = 0.00 μB/f.u.

[4]
A plane-wave DFT calculation with PBE-GGA was carried out for an optimized crystal structure of AlI2O.

Cell and atoms, written as CIF:
```
data_AlI2O
_chemical_formula_sum 'Al4 I8 O4'
_symmetry_space_group_name_H-M 'F m -3 m'
_symmetry_Int_Tables_number 225
_symmetry_space_group_name_Hall '-F 4 2 3'
_cell_length_a 6.9082
_cell_length_b 6.9082
_cell_length_c 6.9082
_cell_angle_alpha 90.00
_cell_angle_beta 90.00
_cell_angle_gamma 90.00
loop_
_atom_site_label
_atom_site_fract_x
_atom_site_fract_y
_atom_site_fract_z
Al1 0.0000 0.0000 0.0000
I1 0.2500 0.2500 0.2500
O1 0.0000 0.0000 0.5000
```

Properties
crystal system = cubic
energy relative to the elements, uncorrected = 0.515 eV/atom
energy relative to the lowest polymorph listed for this composition = 267 meV/atom
magnetization = 0.00 μB/f.u.

[5]
A plane-wave DFT calculation with PBE-GGA was carried out for an optimized crystal structure of BaNaMg2Hg.

Cell and atoms, written as CIF:
```
data_BaNaMg2Hg
_chemical_formula_sum 'Ba1 Na1 Mg2 Hg1'
_symmetry_space_group_name_H-M 'P 4/m m m'
_symmetry_Int_Tables_number 123
_symmetry_space_group_name_Hall '-P 4 2'
_cell_length_a 5.4241
_cell_length_b 5.4241
_cell_length_c 5.7544
_cell_angle_alpha 90.00
_cell_angle_beta 90.00
_cell_angle_gamma 90.00
loop_
_atom_site_label
_atom_site_fract_x
_atom_site_fract_y
_atom_site_fract_z
Ba1 0.0000 0.0000 0.0000
Na1 0.5000 0.5000 0.0000
Mg1 0.0000 0.5000 0.5000
Hg1 0.5000 0.5000 0.5000
```

Properties
crystal system = tetragonal
DFT formation energy = -0.3 eV/f.u.
magnetization = 0.09 μB/f.u.

[6]
A plane-wave DFT calculation with PBE-GGA was carried out for an optimized crystal structure of Mn4RhBr.

Cell and atoms, written as CIF:
```
data_Mn4RhBr
_chemical_formula_sum 'Mn16 Rh4 Br4'
_symmetry_space_group_name_H-M 'F -4 3 m'
_symmetry_Int_Tables_number 216
_symmetry_space_group_name_Hall 'F -4 2 3'
_cell_length_a 6.9659
_cell_length_b 6.9659
_cell_length_c 6.9659
_cell_angle_alpha 90.00
_cell_angle_beta 90.00
_cell_angle_gamma 90.00
loop_
_atom_site_label
_atom_site_fract_x
_atom_site_fract_y
_atom_site_fract_z
Mn1 0.1243 0.1243 0.1243
Rh1 0.2500 0.2500 0.7500
Br1 0.0000 0.0000 0.5000
```

Properties
crystal system = cubic
energy relative to the elements, uncorrected = 0.733 eV/atom
magnetization = 9.53 μB/f.u.

[7]
A plane-wave DFT calculation with PBE-GGA was carried out for an optimized crystal structure of ScSb2TeRh.

Cell and atoms, written as CIF:
```
data_ScSb2TeRh
_chemical_formula_sum 'Sc1 Sb2 Te1 Rh1'
_symmetry_space_group_name_H-M 'P 4/m m m'
_symmetry_Int_Tables_number 123
_symmetry_space_group_name_Hall '-P 4 2'
_cell_length_a 5.3741
_cell_length_b 5.3741
_cell_length_c 5.3536
_cell_angle_alpha 90.00
_cell_angle_beta 90.00
_cell_angle_gamma 90.00
loop_
_atom_site_label
_atom_site_fract_x
_atom_site_fract_y
_atom_site_fract_z
Sc1 0.0000 0.0000 0.0000
Sb1 0.0000 0.5000 0.0000
Te1 0.0000 0.0000 0.5000
Rh1 0.5000 0.5000 0.5000
```

Properties
crystal system = tetragonal
energy relative to the elements, uncorrected = 0.653 eV/atom
energy relative to the lowest polymorph listed for this composition = 541 meV/atom
magnetization = 0.44 μB/f.u.

[8]
A plane-wave DFT calculation with PBE-GGA was carried out for an optimized crystal structure of Na2CuI2Cl2.

Cell and atoms, written as CIF:
```
data_Na2CuI2Cl2
_chemical_formula_sum 'Na4 Cu2 I4 Cl4'
_symmetry_space_group_name_H-M 'I 4/m m m'
_symmetry_Int_Tables_number 139
_symmetry_space_group_name_Hall '-I 4 2'
_cell_length_a 4.8463
_cell_length_b 4.8463
_cell_length_c 16.5664
_cell_angle_alpha 90.00
_cell_angle_beta 90.00
_cell_angle_gamma 90.00
loop_
_atom_site_label
_atom_site_fract_x
_atom_site_fract_y
_atom_site_fract_z
Na1 0.0000 0.0000 0.1191
Cu1 0.0000 0.0000 0.5000
I1 0.0000 0.0000 0.3316
Cl1 0.0000 0.5000 0.0000
```

Properties
crystal system = tetragonal
energy relative to the elements, uncorrected = -0.905 eV/atom
energy relative to the lowest polymorph listed for this composition = 22 meV/atom
magnetization = 0.00 μB/f.u.

[9]
A plane-wave DFT calculation with PBE-GGA was carried out for an optimized crystal structure of K2LiHf2Se6.

Cell and atoms, written as CIF:
```
data_K2LiHf2Se6
_chemical_formula_sum 'K4 Li2 Hf4 Se12'
_symmetry_space_group_name_H-M 'C 1 2/m 1'
_symmetry_Int_Tables_number 12
_symmetry_space_group_name_Hall '-C 2y'
_cell_length_a 6.7088
_cell_length_b 11.6230
_cell_length_c 8.2282
_cell_angle_alpha 90.00
_cell_angle_beta 105.03
_cell_angle_gamma 90.00
loop_
_atom_site_label
_atom_site_fract_x
_atom_site_fract_y
_atom_site_fract_z
K1 0.0000 0.1628 0.0000
Li1 0.0000 0.0000 0.5000
Hf1 0.0000 0.3329 0.5000
Se1 0.2092 0.5000 0.6962
Se2 0.2359 0.1729 0.6939
```

Properties
crystal system = monoclinic
energy relative to the elements, uncorrected = -1.254 eV/atom
magnetization = 0.00 μB/f.u.

[10]
A plane-wave DFT calculation with PBE-GGA was carried out for an optimized crystal structure of ZrTlSi2.

Cell and atoms, written as CIF:
```
data_ZrTlSi2
_chemical_formula_sum 'Zr1 Tl1 Si2'
_symmetry_space_group_name_H-M 'P m m m'
_symmetry_Int_Tables_number 47
_symmetry_space_group_name_Hall '-P 2 2'
_cell_length_a 3.7844
_cell_length_b 4.2820
_cell_length_c 4.7563
_cell_angle_alpha 90.00
_cell_angle_beta 90.00
_cell_angle_gamma 90.00
loop_
_atom_site_label
_atom_site_fract_x
_atom_site_fract_y
_atom_site_fract_z
Zr1 0.0000 0.0000 0.0000
Tl1 0.0000 0.5000 0.5000
Si1 0.5000 0.0000 0.5000
Si2 0.5000 0.5000 0.0000
```

Properties
crystal system = orthorhombic
energy relative to the elements, uncorrected = 0.106 eV/atom
energy relative to the lowest polymorph listed for this composition = 203 meV/atom
magnetization = 0.00 μB/f.u.

[11]
A plane-wave DFT calculation with PBE-GGA was carried out for an optimized crystal structure of CsTeH2.

Cell and atoms, written as CIF:
```
data_CsTeH2
_chemical_formula_sum 'Cs1 Te1 H2'
_symmetry_space_group_name_H-M 'P 1 2/m 1'
_symmetry_Int_Tables_number 10
_symmetry_space_group_name_Hall '-P 2y'
_cell_length_a 3.5003
_cell_length_b 5.0261
_cell_length_c 5.8655
_cell_angle_alpha 90.00
_cell_angle_beta 90.50
_cell_angle_gamma 90.00
loop_
_atom_site_label
_atom_site_fract_x
_atom_site_fract_y
_atom_site_fract_z
Cs1 0.0000 0.0000 0.0000
Te1 0.5000 0.5000 0.5000
H1 0.5002 0.5000 0.0678
```

Properties
crystal system = monoclinic
energy relative to the lowest polymorph listed for this composition = 144 meV/atom
magnetization = 0.00 μB/f.u.

[12]
A plane-wave DFT calculation with PBE-GGA was carried out for an optimized crystal structure of Ba4AlSb4.

Cell and atoms, written as CIF:
```
data_Ba4AlSb4
_chemical_formula_sum 'Ba8 Al2 Sb8'
_symmetry_space_group_name_H-M 'P 42/n m c'
_symmetry_Int_Tables_number 137
_cell_length_a 10.0555
_cell_length_b 10.0555
_cell_length_c 7.2528
_cell_angle_alpha 90.00
_cell_angle_beta 90.00
_cell_angle_gamma 90.00
loop_
_symmetry_equiv_pos_as_xyz
'x,y,z'
'-x,-y,-z'
'-y+1/2,x,z+1/2'
'y+1/2,-x,-z+1/2'
'-x+1/2,-y+1/2,z'
'x+1/2,y+1/2,-z'
'y,-x+1/2,z+1/2'
'-y,x+1/2,-z+1/2'
'x+1/2,-y,-z'
'-x+1/2,y,z'
'-y,-x,-z+1/2'
'y,x,z+1/2'
'-x,y+1/2,-z'
'x,-y+1/2,z'
'y+1/2,x+1/2,-z+1/2'
'-y+1/2,-x+1/2,z+1/2'
loop_
_atom_site_label
_atom_site_fract_x
_atom_site_fract_y
_atom_site_fract_z
Ba1 0.0150 0.2500 0.0534
Al1 0.2500 0.7500 0.2500
Sb1 0.0198 0.7500 0.4533
```

Properties
crystal system = tetragonal
energy relative to the elements, uncorrected = -0.890 eV/atom
magnetization = 0.00 μB/f.u.